[1]
Entry from Alexandria: crystalline Sr3Si2As2Au4 at its relaxed geometry (PBE).

For the uncorrected formation energy, the calculation gives -0.61 eV/atom. The space-group type is No. 139.

Cell lengths 4.6674, 4.6674, 13.7953 Å; angles 99.74, 99.74, 90.00 degrees
Fractional coordinates of all 11 atoms:
1 Au 0.9165 0.4165 0.8330
2 Au 0.4165 0.9165 0.8330
3 Au 0.5835 0.0835 0.1670
4 Au 0.0835 0.5835 0.1670
5 Sr 0.1863 0.1863 0.3725
6 Sr 0.8137 0.8137 0.6275
7 Sr 0.0000 0.0000 0.0000
8 As 0.3030 0.3030 0.6060
9 As 0.6970 0.6970 0.3940
10 Si 0.6106 0.6106 0.2212
11 Si 0.3894 0.3894 0.7788

---

[2]
Entry from Alexandria: crystalline ZnBr2 at its relaxed geometry (PBE).

For the uncorrected formation energy, the calculation gives -0.79 eV/atom. The space-group type is No. 62.

Cell lengths 3.6867, 12.9939, 7.9995 Å; angles 90.00, 90.00, 90.00 degrees
Fractional coordinates of all 12 atoms:
1 Br 0.7500 0.5124 0.2944
2 Br 0.2500 0.7556 0.0269
3 Br 0.7500 0.0124 0.2056
4 Br 0.2500 0.2556 0.4731
5 Br 0.2500 0.4876 0.7056
6 Br 0.7500 0.2444 0.9731
7 Br 0.7500 0.7444 0.5269
8 Br 0.2500 0.9876 0.7944
9 Zn 0.7500 0.3805 0.5235
10 Zn 0.7500 0.8805 0.9765
11 Zn 0.2500 0.6195 0.4765
12 Zn 0.2500 0.1195 0.0235

---

[3]
Entry from Alexandria: crystalline V2Cr2Tc at its relaxed geometry (PBE).

The calculation puts the formation energy from the elements at 0.10 eV per atom. The space-group type is No. 65.

Cell lengths 2.9534, 3.0281, 7.5914 Å; angles 78.50, 90.00, 90.00 degrees
Fractional coordinates of all 5 atoms:
1 Tc 0.0000 0.0000 0.0000
2 Cr 0.0000 0.8043 0.3915
3 Cr 0.0000 0.1957 0.6085
4 V 0.5000 0.3958 0.2083
5 V 0.5000 0.6042 0.7917

---

[4]
Entry from Alexandria: crystalline RbAl2In2 at its relaxed geometry (PBE).

Its excess energy over the best structure of this formula in the dataset is 131 meV/atom. The calculation puts the formation energy from the elements at 0.15 eV per atom. The space-group type is No. 127.

Cell lengths 8.9022, 8.9022, 3.3839 Å; angles 90.00, 90.00, 90.00 degrees
Fractional coordinates of all 10 atoms:
1 Al 0.6238 0.1238 0.0000
2 Al 0.1238 0.3762 0.0000
3 Al 0.3762 0.8762 0.0000
4 Al 0.8762 0.6238 0.0000
5 In 0.3419 0.1581 0.5000
6 In 0.8419 0.3419 0.5000
7 In 0.1581 0.6581 0.5000
8 In 0.6581 0.8419 0.5000
9 Rb 0.5000 0.5000 0.0000
10 Rb 0.0000 0.0000 0.0000

---

[5]
Entry from Alexandria: crystalline Li3Y3ScTe8 at its relaxed geometry (PBE).

For the uncorrected formation energy, the calculation gives -1.22 eV/atom. The space-group type is No. 166.

Cell lengths 8.5479, 8.5480, 8.6416 Å; angles 119.65, 90.00, 120.00 degrees
Fractional coordinates of all 15 atoms:
1 Y 0.0000 0.5000 0.5000
2 Y 0.5000 0.0000 0.5000
3 Y 0.5000 0.5000 0.5000
4 Te 0.7610 0.0052 0.7492
5 Te 0.2390 0.9948 0.2508
6 Te 0.2442 0.4883 0.7493
7 Te 0.2441 0.0052 0.7492
8 Te 0.2469 0.4939 0.2409
9 Te 0.7559 0.9948 0.2508
10 Te 0.7558 0.5117 0.2507
11 Te 0.7531 0.5061 0.7591
12 Li 0.0000 0.5000 0.0000
13 Li 0.0000 0.0000 0.0000
14 Li 0.5000 0.5000 0.0000
15 Sc 0.0000 0.0000 0.5000

---

[6]
Entry from Alexandria: crystalline TmMgSi4 at its relaxed geometry (PBE).

For the uncorrected formation energy, the calculation gives -0.17 eV/atom. The space-group type is No. 216.

Cell lengths 5.2279, 5.2279, 5.2279 Å; angles 60.00, 60.00, 60.00 degrees
Fractional coordinates of all 6 atoms:
1 Mg 0.0000 0.0000 0.0000
2 Si 0.1207 0.6264 0.6264
3 Si 0.6264 0.6264 0.1207
4 Si 0.6264 0.6264 0.6264
5 Si 0.6264 0.1207 0.6264
6 Tm 0.2500 0.2500 0.2500

---

[7]
Entry from Alexandria: crystalline MgHgIO2 at its relaxed geometry (PBE).

Its excess energy over the best structure of this formula in the dataset is 574 meV/atom. For the uncorrected formation energy, the calculation gives 0.11 eV/atom. The space-group type is No. 123.

Cell lengths 4.2534, 4.2534, 6.3417 Å; angles 90.00, 90.00, 90.00 degrees
Each line ends with the local moment (μB).
Fractional coordinates of all 5 atoms:
1 Hg 0.0000 0.0000 0.0000  0.01
2 Mg 0.5000 0.5000 0.5000  -0.01
3 I 0.0000 0.0000 0.5000  -0.01
4 O 0.5000 0.0000 0.0000  0.28
5 O 0.0000 0.5000 0.0000  0.28

---

[8]
Entry from Alexandria: crystalline Rb3Cu2Br7 at its relaxed geometry (PBE).

Its excess energy over the best structure of this formula in the dataset is 0 meV/atom. For the uncorrected formation energy, the calculation gives -1.01 eV/atom. The space-group type is No. 139.

Cell lengths 5.2428, 5.2428, 14.0768 Å; angles 100.73, 100.73, 90.00 degrees
Fractional coordinates of all 12 atoms:
1 Br 0.0920 0.5920 0.1841
2 Br 0.4080 0.9080 0.8159
3 Br 0.0000 0.0000 0.0000
4 Br 0.5920 0.0920 0.1841
5 Br 0.8102 0.8102 0.6205
6 Br 0.1898 0.1898 0.3795
7 Br 0.9080 0.4080 0.8159
8 Rb 0.3200 0.3200 0.6400
9 Rb 0.5000 0.5000 0.0000
10 Rb 0.6800 0.6800 0.3600
11 Cu 0.0958 0.0958 0.1916
12 Cu 0.9042 0.9042 0.8084

---

[9]
Entry from Alexandria: crystalline Nd2GeAs3Pt4 at its relaxed geometry (PBE).

The calculation puts the formation energy from the elements at -0.88 eV per atom. The space-group type is No. 115.

Cell lengths 4.3969, 4.3969, 10.1884 Å; angles 90.00, 90.00, 90.00 degrees
Fractional coordinates of all 10 atoms:
1 Pt 0.5000 0.0000 0.6250
2 Pt 0.0000 0.0000 0.0000
3 Pt 0.0000 0.5000 0.3750
4 Pt 0.5000 0.5000 0.0000
5 As 0.5000 0.0000 0.8665
6 As 0.0000 0.5000 0.1335
7 As 0.0000 0.0000 0.5000
8 Nd 0.5000 0.0000 0.2454
9 Nd 0.0000 0.5000 0.7546
10 Ge 0.5000 0.5000 0.5000

---

[10]
Entry from Alexandria: crystalline YSe2BrN at its relaxed geometry (PBE).

Its excess energy over the best structure of this formula in the dataset is 0 meV/atom. For the uncorrected formation energy, the calculation gives -0.04 eV/atom. The space-group type is No. 123.

Cell lengths 4.6981, 4.6981, 4.4017 Å; angles 90.00, 90.00, 90.00 degrees
Fractional coordinates of all 5 atoms:
1 Se 0.5000 0.0000 0.0000
2 Se 0.0000 0.5000 0.0000
3 Br 0.0000 0.0000 0.5000
4 N 0.0000 0.0000 0.0000
5 Y 0.5000 0.5000 0.5000

---

[11]
Entry from Alexandria: crystalline Pa2NbIrN5 at its relaxed geometry (PBE).

For the uncorrected formation energy, the calculation gives -0.99 eV/atom. The space-group type is No. 36.

Cell lengths 3.3413, 6.6697, 10.3276 Å; angles 90.00, 90.00, 104.51 degrees
Fractional coordinates of all 18 atoms:
1 N 0.5158 0.0316 0.2639
2 N 0.3198 0.6396 0.3669
3 N 0.3671 0.7342 0.9949
4 N 0.2775 0.5549 0.6600
5 N 0.6802 0.3604 0.8669
6 N 0.0543 0.1086 0.0822
7 N 0.6329 0.2658 0.4949
8 N 0.4842 0.9684 0.7639
9 N 0.9457 0.8914 0.5822
10 N 0.7225 0.4451 0.1600
11 Pa 0.1460 0.2920 0.3066
12 Pa 0.8976 0.7952 0.1848
13 Pa 0.1024 0.2048 0.6848
14 Pa 0.8540 0.7080 0.8066
15 Ir 0.4714 0.9428 0.4502
16 Ir 0.5286 0.0572 0.9502
17 Nb 0.7982 0.5965 0.5145
18 Nb 0.2018 0.4035 0.0145

---

[12]
Entry from Alexandria: crystalline Ac3TlPt2 at its relaxed geometry (PBE).

The calculation puts the formation energy from the elements at -0.71 eV per atom. The space-group type is No. 63.

Cell lengths 5.4856, 7.6180, 10.2056 Å; angles 90.00, 90.00, 111.10 degrees
Fractional coordinates of all 12 atoms:
1 Pt 0.0000 0.0000 0.0000
2 Pt 0.5380 0.0761 0.7500
3 Pt 0.0000 0.0000 0.5000
4 Pt 0.4620 0.9240 0.2500
5 Ac 0.1036 0.2071 0.7500
6 Ac 0.3748 0.7497 0.9470
7 Ac 0.3748 0.7497 0.5530
8 Ac 0.8964 0.7929 0.2500
9 Ac 0.6252 0.2503 0.0530
10 Ac 0.6252 0.2503 0.4470
11 Tl 0.2281 0.4562 0.2500
12 Tl 0.7719 0.5438 0.7500

---

[13]
Entry from Alexandria: crystalline CaPm3Sn4 at its relaxed geometry (PBE).

The calculation puts the formation energy from the elements at -0.64 eV per atom. The space-group type is No. 31.

Cell lengths 6.4926, 6.4913, 10.7653 Å; angles 90.00, 90.00, 90.00 degrees
Fractional coordinates of all 16 atoms:
1 Pm 0.6868 0.2507 0.2501
2 Pm 0.6868 0.2507 0.7499
3 Pm 0.9719 0.0348 0.5000
4 Pm 0.1868 0.7493 0.7501
5 Pm 0.4719 0.9652 0.0000
6 Pm 0.1868 0.7493 0.2499
7 Sn 0.4598 0.9852 0.5000
8 Sn 0.6857 0.7534 0.2777
9 Sn 0.9598 0.0148 0.0000
10 Sn 0.6857 0.7534 0.7223
11 Sn 0.4223 0.4764 0.0000
12 Sn 0.1857 0.2466 0.2223
13 Sn 0.1857 0.2466 0.7777
14 Sn 0.9223 0.5236 0.5000
15 Ca 0.9164 0.5206 0.0000
16 Ca 0.4164 0.4794 0.5000

---

[14]
Entry from Alexandria: crystalline Tb2PrSm4Th at its relaxed geometry (PBE).

The calculation puts the formation energy from the elements at 0.03 eV per atom. The space-group type is No. 123.

Cell lengths 5.1135, 5.1082, 11.4576 Å; angles 63.48, 90.00, 90.00 degrees
Fractional coordinates of all 8 atoms:
1 Pr 0.5000 0.5000 0.0000
2 Sm 0.5000 0.7443 0.2555
3 Sm 0.0000 0.2454 0.2546
4 Sm 0.0000 0.7546 0.7453
5 Sm 0.5000 0.2557 0.7445
6 Tb 0.0000 0.0000 0.0000
7 Tb 0.5000 0.0000 0.5000
8 Th 0.0000 0.5000 0.5000

---

[15]
Entry from Alexandria: crystalline NpPaCuTc at its relaxed geometry (PBE).

The calculation puts the formation energy from the elements at 0.00 eV per atom. The space-group type is No. 216.

Cell lengths 4.6389, 4.6389, 4.6389 Å; angles 60.00, 60.00, 60.00 degrees
Each line ends with the local moment (μB).
Fractional coordinates of all 4 atoms:
1 Pa 0.5000 0.5000 0.5000  0.42
2 Tc 0.2500 0.2500 0.2500  -0.47
3 Cu 0.0000 0.0000 0.0000  -0.03
4 Np 0.7500 0.7500 0.7500  2.80

---

[16]
Entry from Alexandria: crystalline NiGeRu at its relaxed geometry (PBE).

The calculation puts the formation energy from the elements at -0.12 eV per atom. The space-group type is No. 8.

Cell lengths 4.3464, 2.8745, 13.1299 Å; angles 90.00, 101.93, 90.00 degrees
Fractional coordinates of all 12 atoms:
1 Ge 0.0438 0.0000 0.7771
2 Ge 0.2294 0.0000 0.0744
3 Ge 0.2294 0.5000 0.5744
4 Ge 0.0438 0.5000 0.2771
5 Ru 0.5162 0.5000 0.4169
6 Ru 0.7439 0.0000 0.5934
7 Ru 0.5162 0.0000 0.9169
8 Ru 0.7439 0.5000 0.0934
9 Ni 0.5616 0.5000 0.7503
10 Ni 0.5616 0.0000 0.2503
11 Ni 0.9993 0.0000 0.4250
12 Ni 0.9993 0.5000 0.9250

---

[17]
Entry from Alexandria: crystalline AcCuAs2 at its relaxed geometry (PBE).

Its excess energy over the best structure of this formula in the dataset is 411 meV/atom. The calculation puts the formation energy from the elements at -0.39 eV per atom. The space-group type is No. 123.

Cell lengths 4.3926, 4.5735, 4.5735 Å; angles 90.00, 90.00, 90.00 degrees
Fractional coordinates of all 4 atoms:
1 As 0.0000 0.0000 0.5000
2 As 0.0000 0.5000 0.0000
3 Cu 0.5000 0.0000 0.0000
4 Ac 0.5000 0.5000 0.5000

---

[18]
Entry from Alexandria: crystalline Pm3NiBi at its relaxed geometry (PBE).

Its excess energy over the best structure of this formula in the dataset is 105 meV/atom. The calculation puts the formation energy from the elements at -0.36 eV per atom. The space-group type is No. 221.

Cell lengths 5.3423, 5.3423, 5.3423 Å; angles 90.00, 90.00, 90.00 degrees
Fractional coordinates of all 5 atoms:
1 Bi 0.5000 0.5000 0.5000
2 Ni 0.0000 0.0000 0.0000
3 Pm 0.0000 0.5000 0.0000
4 Pm 0.5000 0.0000 0.0000
5 Pm 0.0000 0.0000 0.5000

---

[19]
Entry from Alexandria: crystalline RbGeI2N at its relaxed geometry (PBE).

Its excess energy over the best structure of this formula in the dataset is 1159 meV/atom. For the uncorrected formation energy, the calculation gives 1.10 eV/atom. The space-group type is No. 123.

Cell lengths 6.7253, 6.7253, 5.2422 Å; angles 90.00, 90.00, 90.00 degrees
Each line ends with the local moment (μB).
Fractional coordinates of all 5 atoms:
1 Rb 0.0000 0.0000 0.0000  0.04
2 N 0.0000 0.0000 0.5000  1.73
3 Ge 0.5000 0.5000 0.5000  0.38
4 I 0.0000 0.5000 0.0000  -0.03
5 I 0.5000 0.0000 0.0000  -0.03

---

[20]
Entry from Alexandria: crystalline Ce6CoPb2 at its relaxed geometry (PBE).

The calculation puts the formation energy from the elements at -0.30 eV per atom. The space-group type is No. 14.

Cell lengths 6.7747, 6.9569, 10.0451 Å; angles 90.00, 93.09, 90.00 degrees
Each line ends with the local moment (μB).
Fractional coordinates of all 18 atoms:
1 Ce 0.1942 0.2260 0.9766  0.07
2 Ce 0.7150 0.7595 0.4925  0.06
3 Ce 0.8058 0.7740 0.0234  0.07
4 Ce 0.2150 0.7405 0.9925  0.06
5 Ce 0.6942 0.2740 0.4766  0.07
6 Ce 0.0324 0.0098 0.7544  0.07
7 Ce 0.2850 0.2405 0.5075  0.06
8 Ce 0.7850 0.2595 0.0075  0.06
9 Ce 0.5324 0.4902 0.2544  0.07
10 Ce 0.4676 0.5098 0.7456  0.07
11 Ce 0.3058 0.7260 0.5234  0.07
12 Ce 0.9676 0.9902 0.2456  0.07
13 Co 0.5000 0.5000 0.0000  -0.01
14 Co 0.0000 0.0000 0.5000  -0.01
15 Pb 0.9697 0.5037 0.7350  0.00
16 Pb 0.0303 0.4963 0.2650  0.00
17 Pb 0.5303 0.0037 0.7650  0.00
18 Pb 0.4697 0.9963 0.2350  0.00

---

Number 1: E -4.10 eV per atom, ρ 7.15 g/cm3. Number 2: E -2.33 eV per atom, ρ 3.90 g/cm3. Number 3: E -9.47 eV per atom, ρ 7.58 g/cm3. Number 4: E -2.63 eV per atom, ρ 4.57 g/cm3. Number 5: E -4.99 eV per atom, ρ 5.01 g/cm3. Number 6: E -4.80 eV per atom, ρ 5.02 g/cm3. Number 7: E -2.56 eV per atom, ρ 5.55 g/cm3. Number 8: E -2.91 eV per atom, ρ 4.19 g/cm3. Number 9: E -6.11 eV per atom, ρ 11.52 g/cm3. Number 10: E -4.73 eV per atom, ρ 5.82 g/cm3. Number 11: E -9.83 eV per atom, ρ 12.18 g/cm3. Number 12: E -5.17 eV per atom, ρ 10.65 g/cm3. Number 13: E -4.67 eV per atom, ρ 6.95 g/cm3. Number 14: E -5.01 eV per atom, ρ 8.01 g/cm3. Number 15: E -9.22 eV per atom, ρ 14.81 g/cm3. Number 16: E -6.68 eV per atom, ρ 9.62 g/cm3. Number 17: E -4.76 eV per atom, ρ 7.96 g/cm3. Number 18: E -5.14 eV per atom, ρ 7.65 g/cm3. Number 19: E -2.31 eV per atom, ρ 2.98 g/cm3. Number 20: E -5.87 eV per atom, ρ 9.23 g/cm3.